(1)
# PBE HRhW3, relaxed
data_HRhW3
_chemical_formula_sum 'H1 Rh1 W3'
_symmetry_space_group_name_H-M 'P m -3 m'
_symmetry_Int_Tables_number 221
_symmetry_space_group_name_Hall '-P 4 2 3'
_cell_length_a 4.013
_cell_length_b 4.013
_cell_length_c 4.013
_cell_angle_alpha 90.00
_cell_angle_beta 90.00
_cell_angle_gamma 90.00
loop_
_atom_site_label
_atom_site_fract_x
_atom_site_fract_y
_atom_site_fract_z
_atom_site_occupancy
H1 0.000 0.000 0.000 1
Rh1 0.500 0.500 0.500 1
W1 0.000 0.000 0.500 1
# - volume (A^3/atom) = 12.92
# - total energy (eV per atom) = -9.791



(2)
# PBE Li2Y2Mg, relaxed
data_Li2Y2Mg
_chemical_formula_sum 'Li4 Y4 Mg2'
_symmetry_space_group_name_H-M 'I 4/m m m'
_symmetry_Int_Tables_number 139
_symmetry_space_group_name_Hall '-I 4 2'
_cell_length_a 3.772
_cell_length_b 3.772
_cell_length_c 18.517
_cell_angle_alpha 90.00
_cell_angle_beta 90.00
_cell_angle_gamma 90.00
loop_
_atom_site_label
_atom_site_fract_x
_atom_site_fract_y
_atom_site_fract_z
_atom_site_occupancy
Li1 0.000 0.500 0.250 1
Y1 0.000 0.000 0.099 1
Mg1 0.000 0.000 0.500 1
# - volume (A^3/atom) = 26.34
# - total energy (eV per atom) = -3.525
# - DFT formation energy (kJ/mol of formula units) = 70



(3)
# PBE Na2CdIn2, relaxed
data_Na2CdIn2
_chemical_formula_sum 'Na4 Cd2 In4'
_symmetry_space_group_name_H-M 'C 1 2/m 1'
_symmetry_Int_Tables_number 12
_cell_length_a 9.895
_cell_length_b 4.892
_cell_length_c 7.072
_cell_angle_alpha 90.00
_cell_angle_beta 130.76
_cell_angle_gamma 90.00
loop_
_symmetry_equiv_pos_as_xyz
'x,y,z'
'-x,-y,-z'
'-x,y,-z'
'x,-y,z'
'x+1/2,y+1/2,z'
'-x+1/2,-y+1/2,-z'
'-x+1/2,y+1/2,-z'
'x+1/2,-y+1/2,z'
loop_
_atom_site_label
_atom_site_fract_x
_atom_site_fract_y
_atom_site_fract_z
_atom_site_occupancy
Na1 0.205 0.000 0.102 1
Cd1 0.000 0.000 0.500 1
In1 0.110 0.500 0.308 1
# - volume (A^3/atom) = 25.93
# - total energy (eV per atom) = -1.893
# - DFT formation energy (kJ/mol of formula units) = -42



(4)
# PBE CuAsN2F, relaxed
data_CuAsN2F
_chemical_formula_sum 'Cu1 As1 N2 F1'
_symmetry_space_group_name_H-M 'P 4/m m m'
_symmetry_Int_Tables_number 123
_symmetry_space_group_name_Hall '-P 4 2'
_cell_length_a 3.750
_cell_length_b 3.750
_cell_length_c 3.988
_cell_angle_alpha 90.00
_cell_angle_beta 90.00
_cell_angle_gamma 90.00
loop_
_atom_site_label
_atom_site_fract_x
_atom_site_fract_y
_atom_site_fract_z
_atom_site_occupancy
Cu1 0.000 0.000 0.000 1
As1 0.500 0.500 0.500 1
N1 0.000 0.500 0.500 1
F1 0.500 0.500 0.000 1
# - energy relative to the elements, uncorrected (eV/atom) = 0.792
# - volume (A^3/atom) = 11.22
# - total energy (eV per atom) = -4.662



(5)
# PBE Eu2CdPd, relaxed
data_Eu2CdPd
_chemical_formula_sum 'Eu8 Cd4 Pd4'
_symmetry_space_group_name_H-M 'F m -3 m'
_symmetry_Int_Tables_number 225
_symmetry_space_group_name_Hall '-F 4 2 3'
_cell_length_a 7.554
_cell_length_b 7.554
_cell_length_c 7.554
_cell_angle_alpha 90.00
_cell_angle_beta 90.00
_cell_angle_gamma 90.00
loop_
_atom_site_label
_atom_site_fract_x
_atom_site_fract_y
_atom_site_fract_z
_atom_site_occupancy
Eu1 0.250 0.250 0.250 1
Cd1 0.000 0.000 0.000 1
Pd1 0.000 0.000 0.500 1
# - volume (A^3/atom) = 26.95
# - total energy (eV per atom) = -7.112
# - DFT formation energy (kJ/mol of formula units) = -173



(6)
# PBE PdPb3O, relaxed
data_PdPb3O
_chemical_formula_sum 'Pd1 Pb3 O1'
_symmetry_space_group_name_H-M 'P m -3 m'
_symmetry_Int_Tables_number 221
_symmetry_space_group_name_Hall '-P 4 2 3'
_cell_length_a 4.944
_cell_length_b 4.944
_cell_length_c 4.944
_cell_angle_alpha 90.00
_cell_angle_beta 90.00
_cell_angle_gamma 90.00
loop_
_atom_site_label
_atom_site_fract_x
_atom_site_fract_y
_atom_site_fract_z
_atom_site_occupancy
Pd1 0.000 0.000 0.000 1
Pb1 0.000 0.500 0.500 1
O1 0.500 0.500 0.500 1
# - energy relative to the elements, uncorrected (eV/atom) = -0.186
# - volume (A^3/atom) = 24.16
# - total energy (eV per atom) = -4.441



(7)
# PBE CeGa2Cu9, relaxed
data_CeGa2Cu9
_chemical_formula_sum 'Ce4 Ga8 Cu36'
_symmetry_space_group_name_H-M 'I 41/a m d'
_symmetry_Int_Tables_number 141
_cell_length_a 10.177
_cell_length_b 10.177
_cell_length_c 6.632
_cell_angle_alpha 90.00
_cell_angle_beta 90.00
_cell_angle_gamma 90.00
loop_
_symmetry_equiv_pos_as_xyz
'x,y,z'
'-x,-y,-z'
'-y+1/4,x+3/4,z+1/4'
'y+1/4,-x+3/4,-z+1/4'
'-x+1/2,-y,z+1/2'
'x+1/2,y,-z+1/2'
'y+1/4,-x+1/4,z+3/4'
'-y+1/4,x+1/4,-z+3/4'
'x,-y,-z'
'-x,y,z'
'-y+1/4,-x+1/4,-z+3/4'
'y+1/4,x+1/4,z+3/4'
'-x+1/2,y,-z+1/2'
'x+1/2,-y,z+1/2'
'y+1/4,x+3/4,-z+1/4'
'-y+1/4,-x+3/4,z+1/4'
'x+1/2,y+1/2,z+1/2'
'-x+1/2,-y+1/2,-z+1/2'
'-y+3/4,x+1/4,z+3/4'
'y+3/4,-x+1/4,-z+3/4'
'-x,-y+1/2,z'
'x,y+1/2,-z'
'y+3/4,-x+3/4,z+1/4'
'-y+3/4,x+3/4,-z+1/4'
'x+1/2,-y+1/2,-z+1/2'
'-x+1/2,y+1/2,z+1/2'
'-y+3/4,-x+3/4,-z+1/4'
'y+3/4,x+3/4,z+1/4'
'-x,y+1/2,-z'
'x,-y+1/2,z'
'y+3/4,x+1/4,-z+3/4'
'-y+3/4,-x+1/4,z+3/4'
loop_
_atom_site_label
_atom_site_fract_x
_atom_site_fract_y
_atom_site_fract_z
_atom_site_occupancy
Ce1 0.000 0.250 0.375 1
Ga1 0.000 0.000 0.000 1
Cu1 0.000 0.250 0.875 1
Cu2 0.122 0.042 0.681 1
# - volume (A^3/atom) = 14.31
# - total energy (eV per atom) = -4.212
# - DFT formation energy (kJ/mol of formula units) = -163



(8)
# PBE Sb2AsPb, relaxed
data_Sb2AsPb
_chemical_formula_sum 'Sb8 As4 Pb4'
_symmetry_space_group_name_H-M 'I -4 2 d'
_symmetry_Int_Tables_number 122
_symmetry_space_group_name_Hall 'I -4 2bw'
_cell_length_a 6.257
_cell_length_b 6.257
_cell_length_c 15.269
_cell_angle_alpha 90.00
_cell_angle_beta 90.00
_cell_angle_gamma 90.00
loop_
_atom_site_label
_atom_site_fract_x
_atom_site_fract_y
_atom_site_fract_z
_atom_site_occupancy
Sb1 0.204 0.250 0.125 1
As1 0.000 0.000 0.000 1
Pb1 0.000 0.000 0.500 1
# - energy relative to the elements, uncorrected (eV/atom) = 0.243
# - volume (A^3/atom) = 37.36
# - total energy (eV per atom) = -3.908



(9)
# PBE PuPa5Ge5, relaxed
data_PuPa5Ge5
_chemical_formula_sum 'Pu2 Pa10 Ge10'
_symmetry_space_group_name_H-M 'C 1 2/m 1'
_symmetry_Int_Tables_number 12
_cell_length_a 12.819
_cell_length_b 5.783
_cell_length_c 8.140
_cell_angle_alpha 90.00
_cell_angle_beta 108.44
_cell_angle_gamma 90.00
loop_
_symmetry_equiv_pos_as_xyz
'x,y,z'
'-x,-y,-z'
'-x,y,-z'
'x,-y,z'
'x+1/2,y+1/2,z'
'-x+1/2,-y+1/2,-z'
'-x+1/2,y+1/2,-z'
'x+1/2,-y+1/2,z'
loop_
_atom_site_label
_atom_site_fract_x
_atom_site_fract_y
_atom_site_fract_z
_atom_site_occupancy
Pu1 0.000 0.000 0.000 1
Pa1 0.000 0.000 0.500 1
Pa2 0.158 0.500 0.341 1
Pa3 0.161 0.500 0.822 1
Ge1 0.000 0.500 0.000 1
Ge2 0.167 0.000 0.336 1
Ge3 0.175 0.000 0.833 1
# - volume (A^3/atom) = 26.02
# - total energy (eV per atom) = -7.897
# - DFT formation energy (kJ/mol of formula units) = -190



(10)
# PBE Th2MnNi3As4, relaxed
data_Th2MnNi3As4
_chemical_formula_sum 'Th2 Mn1 Ni3 As4'
_symmetry_space_group_name_H-M 'P -4 m 2'
_symmetry_Int_Tables_number 115
_cell_length_a 4.225
_cell_length_b 4.225
_cell_length_c 9.615
_cell_angle_alpha 90.00
_cell_angle_beta 90.00
_cell_angle_gamma 90.00
loop_
_symmetry_equiv_pos_as_xyz
'x,y,z'
'y,-x,-z'
'-x,-y,z'
'-y,x,-z'
'-x,y,z'
'-y,-x,-z'
'x,-y,z'
'y,x,-z'
loop_
_atom_site_label
_atom_site_fract_x
_atom_site_fract_y
_atom_site_fract_z
_atom_site_occupancy
Th1 0.000 0.500 0.250 1
Mn1 0.000 0.000 0.500 1
Ni1 0.000 0.500 0.881 1
Ni2 0.500 0.500 0.500 1
As1 0.000 0.000 0.000 1
As2 0.000 0.500 0.634 1
As3 0.500 0.500 0.000 1
# - volume (A^3/atom) = 17.17
# - total energy (eV per atom) = -6.746
# - DFT formation energy (kJ/mol of formula units) = -725



(11)
# PBE GaFe2Pd6, relaxed
data_GaFe2Pd6
_chemical_formula_sum 'Ga4 Fe8 Pd24'
_symmetry_space_group_name_H-M 'F m m m'
_symmetry_Int_Tables_number 69
_symmetry_space_group_name_Hall '-F 2 2'
_cell_length_a 3.979
_cell_length_b 10.978
_cell_length_c 12.057
_cell_angle_alpha 90.00
_cell_angle_beta 90.00
_cell_angle_gamma 90.00
loop_
_atom_site_label
_atom_site_fract_x
_atom_site_fract_y
_atom_site_fract_z
_atom_site_occupancy
Ga1 0.000 0.000 0.000 1
Fe1 0.000 0.000 0.325 1
Pd1 0.000 0.153 0.500 1
Pd2 0.000 0.158 0.166 1
# - volume (A^3/atom) = 14.63
# - total energy (eV per atom) = -5.920
# - DFT formation energy (kJ/mol of formula units) = -210



(12)
# PBE Be2GeIr2, relaxed
data_Be2GeIr2
_chemical_formula_sum 'Be4 Ge2 Ir4'
_symmetry_space_group_name_H-M 'I 4/m m m'
_symmetry_Int_Tables_number 139
_symmetry_space_group_name_Hall '-I 4 2'
_cell_length_a 3.041
_cell_length_b 3.041
_cell_length_c 13.202
_cell_angle_alpha 90.00
_cell_angle_beta 90.00
_cell_angle_gamma 90.00
loop_
_atom_site_label
_atom_site_fract_x
_atom_site_fract_y
_atom_site_fract_z
_atom_site_occupancy
Be1 0.000 0.500 0.250 1
Ge1 0.000 0.000 0.000 1
Ir1 0.000 0.000 0.387 1
# - volume (A^3/atom) = 12.21
# - total energy (eV per atom) = -6.290
# - DFT formation energy (kJ/mol of formula units) = -160



(13)
# PBE LiBeCoC, relaxed
data_LiBeCoC
_chemical_formula_sum 'Li4 Be4 Co4 C4'
_symmetry_space_group_name_H-M 'F -4 3 m'
_symmetry_Int_Tables_number 216
_symmetry_space_group_name_Hall 'F -4 2 3'
_cell_length_a 4.980
_cell_length_b 4.980
_cell_length_c 4.980
_cell_angle_alpha 90.00
_cell_angle_beta 90.00
_cell_angle_gamma 90.00
loop_
_atom_site_label
_atom_site_fract_x
_atom_site_fract_y
_atom_site_fract_z
_atom_site_occupancy
Li1 0.000 0.000 0.000 1
Be1 0.250 0.250 0.750 1
Co1 0.000 0.000 0.500 1
C1 0.250 0.250 0.250 1
# - volume (A^3/atom) = 7.72
# - total energy (eV per atom) = -4.982
# - DFT formation energy (kJ/mol of formula units) = 197